A plane-wave DFT calculation with GGA-PBE was carried out for Ba3Zn after structural relaxation.

Computed properties:
Size of the total moment ... 0.004 μB/f.u.
DFT formation energy ... 0.117 eV per atom

a = 5.689 Å, b = 5.689 Å, c = 5.689 Å
α = 90.00°, β = 90.00°, γ = 90.00°
Space group Pm-3m (No. 221)
Asymmetric unit:
Ba  0.000  0.000  0.500 x3
Zn  0.500  0.500  0.500 x1